Entry 1:
{
  "formula": "Nd3Dy7Er",
  "functional": "PBE",
  "state": "optimized geometry",
  "cell": [[-1.5819, -5.9824, -6.0916], [-4.1253, -3.5292, 4.5372], [-2.7886, 4.9867, -4.1731]],
  "species": ["Nd", "Nd", "Nd", "Dy", "Dy", "Dy", "Dy", "Dy", "Dy", "Dy", "Er"],
  "fractional_positions": [[0.7830, 0.4999, 0.5001], [0.7830, 0.4999, 0.9999], [0.7830, 0.0001, 0.5001], [0.1209, 0.1675, 0.8325], [0.1209, 0.1675, 0.3350], [0.1227, 0.6667, 0.3333], [0.4458, 0.8325, 0.1675], [0.4458, 0.3349, 0.1675], [0.4458, 0.8325, 0.6651], [0.1209, 0.6650, 0.8325], [0.4435, 0.3333, 0.6667]],
  "total_energy_ev_per_atom": -4.47,
  "volume_a3_per_cell": 376.4,
  "rho_g_cm3": 7.7,
  "m_tot_mub_per_fu": 0.00
}

Entry 2:
{
  "formula": "Nd5DyEr2",
  "functional": "PBE",
  "state": "optimized geometry",
  "cell": [[7.7270, -0.5357, 5.9479], [-1.2221, 7.6485, 5.9479], [2.0431, 2.2340, 13.0442]],
  "species": ["Nd", "Nd", "Nd", "Nd", "Nd", "Nd", "Nd", "Nd", "Nd", "Nd", "Dy", "Dy", "Er", "Er", "Er", "Er"],
  "fractional_positions": [[0.5093, 0.4907, 0.7500], [0.4907, 0.5093, 0.2500], [0.4622, 0.9875, 0.7643], [0.0032, 0.9815, 0.1310], [0.9875, 0.4622, 0.2643], [0.0185, 0.9968, 0.3690], [0.9815, 0.0032, 0.6310], [0.9968, 0.0185, 0.8690], [0.0125, 0.5378, 0.7357], [0.5378, 0.0125, 0.2357], [0.7614, 0.2386, 0.2500], [0.2386, 0.7614, 0.7500], [0.5000, 0.0000, 0.0000], [0.5000, 0.5000, 0.0000], [0.5000, 0.5000, 0.5000], [0.0000, 0.5000, 0.5000]],
  "total_energy_ev_per_atom": -4.48,
  "volume_a3_per_cell": 544.0,
  "rho_g_cm3": 7.4,
  "m_tot_mub_per_fu": 0.00
}

Entry 3:
{
  "formula": "Nd5DyEr8",
  "functional": "PBE",
  "state": "optimized geometry",
  "cell": [[-0.0466, 8.0838, -2.4510], [-7.2503, -2.0091, 3.8411], [6.5393, -0.9288, 5.2661]],
  "species": ["Nd", "Nd", "Nd", "Nd", "Nd", "Dy", "Er", "Er", "Er", "Er", "Er", "Er", "Er", "Er"],
  "fractional_positions": [[0.0308, 0.3257, 0.1347], [0.8653, 0.8961, 0.1910], [0.8090, 0.6743, 0.7051], [0.5000, 0.0000, 0.5000], [0.2949, 0.1039, 0.9692], [0.2500, 0.5000, 0.7500], [0.1649, 0.7373, 0.0770], [0.9230, 0.0879, 0.6603], [0.7328, 0.2550, 0.3354], [0.6646, 0.3974, 0.9196], [0.5223, 0.6026, 0.2672], [0.5724, 0.9121, 0.8351], [0.3397, 0.2627, 0.4276], [0.0804, 0.7450, 0.4777]],
  "total_energy_ev_per_atom": -4.40,
  "volume_a3_per_cell": 463.3,
  "rho_g_cm3": 8.0,
  "m_tot_mub_per_fu": 0.00
}

Entry 4:
{
  "formula": "Nd4DyEr5",
  "functional": "PBE",
  "state": "optimized geometry",
  "cell": [[-5.5973, -1.5469, -1.1797], [-0.3597, -5.5289, -5.9260], [-2.3525, -6.2993, 4.5387]],
  "species": ["Nd", "Nd", "Nd", "Nd", "Dy", "Er", "Er", "Er", "Er", "Er"],
  "fractional_positions": [[0.4533, 0.3233, 0.6769], [0.7766, 0.6769, 0.6767], [0.1301, 0.3231, 0.3233], [0.4535, 0.6767, 0.3231], [0.2114, 0.0000, 0.0000], [0.7606, 0.3774, 0.9999], [0.1379, 0.9999, 0.6226], [0.7604, 0.0001, 0.3774], [0.1378, 0.6226, 0.0001], [0.6886, 0.0000, 0.0000]],
  "total_energy_ev_per_atom": -4.41,
  "volume_a3_per_cell": 338.0,
  "rho_g_cm3": 7.7,
  "m_tot_mub_per_fu": 0.00
}

Entry 5:
{
  "formula": "Nd5Dy3Er2",
  "functional": "PBE",
  "state": "optimized geometry",
  "cell": [[10.9854, 0.0000, 0.0000], [5.4927, 8.3026, 0.3956], [5.4927, 2.5847, 7.9000]],
  "species": ["Nd", "Nd", "Nd", "Nd", "Nd", "Nd", "Nd", "Nd", "Nd", "Nd", "Dy", "Dy", "Dy", "Dy", "Dy", "Dy", "Er", "Er", "Er", "Er"],
  "fractional_positions": [[0.2500, 0.5000, 0.5000], [0.7500, 0.5000, 0.5000], [0.4967, 0.7533, 0.7533], [0.0033, 0.2467, 0.2467], [0.5033, 0.2467, 0.2467], [0.9967, 0.7533, 0.7533], [0.1296, 0.4762, 0.2646], [0.8704, 0.5238, 0.7354], [0.6296, 0.2646, 0.4762], [0.3704, 0.7354, 0.5238], [0.2500, 0.0000, 0.0000], [0.7500, 0.0000, 0.0000], [0.3771, 0.3752, 0.8707], [0.6229, 0.6248, 0.1293], [0.8771, 0.8707, 0.3752], [0.1229, 0.1293, 0.6248], [0.1197, 0.7963, 0.9644], [0.8803, 0.2037, 0.0356], [0.6197, 0.9644, 0.7963], [0.3803, 0.0356, 0.2037]],
  "total_energy_ev_per_atom": -4.30,
  "volume_a3_per_cell": 709.3,
  "rho_g_cm3": 7.2,
  "m_tot_mub_per_fu": 0.00
}

Entry 6:
{
  "formula": "Nd2Dy5Er2",
  "functional": "PBE",
  "state": "optimized geometry",
  "cell": [[11.7777, 0.0000, 0.0000], [0.0000, 6.7249, 0.0000], [-5.8889, -3.3624, 7.4517]],
  "species": ["Nd", "Nd", "Nd", "Nd", "Dy", "Dy", "Dy", "Dy", "Dy", "Dy", "Dy", "Dy", "Dy", "Dy", "Er", "Er", "Er", "Er"],
  "fractional_positions": [[0.1254, 0.6857, 0.2535], [0.8746, 0.4322, 0.7465], [0.6281, 0.1857, 0.2535], [0.3719, 0.9322, 0.7465], [0.2012, 0.6554, 0.8949], [0.7988, 0.7605, 0.1051], [0.1937, 0.1554, 0.8949], [0.8063, 0.2605, 0.1051], [0.3784, 0.0277, 0.2864], [0.6216, 0.7413, 0.7136], [0.4080, 0.5277, 0.2864], [0.5920, 0.2413, 0.7136], [0.0042, 0.6599, 0.5000], [0.9958, 0.1599, 0.5000], [0.0000, 0.0170, 0.0000], [0.5000, 0.5170, 0.0000], [0.2613, 0.3563, 0.5000], [0.7387, 0.8563, 0.5000]],
  "total_energy_ev_per_atom": -4.41,
  "volume_a3_per_cell": 590.2,
  "rho_g_cm3": 8.1,
  "m_tot_mub_per_fu": 0.00
}

Entry 7:
{
  "formula": "Nd2Dy4Er5",
  "functional": "PBE",
  "state": "optimized geometry",
  "cell": [[3.5105, -0.5179, -0.0396], [-2.3003, 8.8948, -1.9562], [1.8465, -0.4842, 11.6156]],
  "species": ["Nd", "Nd", "Dy", "Dy", "Dy", "Dy", "Er", "Er", "Er", "Er", "Er"],
  "fractional_positions": [[0.8627, 0.2706, 0.8170], [0.1373, 0.7294, 0.1830], [0.7718, 0.4538, 0.3645], [0.3144, 0.3609, 0.0929], [0.2282, 0.5462, 0.6355], [0.6856, 0.6391, 0.9071], [0.9560, 0.0926, 0.2736], [0.0440, 0.9074, 0.7264], [0.5905, 0.8191, 0.4567], [0.5000, 0.0000, 0.0000], [0.4095, 0.1809, 0.5433]],
  "total_energy_ev_per_atom": -4.59,
  "volume_a3_per_cell": 348.0,
  "rho_g_cm3": 8.5,
  "m_tot_mub_per_fu": 0.00
}

Entry 8:
{
  "formula": "Nd3Dy12Er",
  "functional": "PBE",
  "state": "optimized geometry",
  "cell": [[5.0423, 0.0000, 0.0000], [0.0000, 5.0423, 0.0000], [0.0000, 0.0000, 20.1670]],
  "species": ["Nd", "Nd", "Nd", "Dy", "Dy", "Dy", "Dy", "Dy", "Dy", "Dy", "Dy", "Dy", "Dy", "Dy", "Dy", "Er"],
  "fractional_positions": [[0.0000, 0.0000, 0.2492], [0.0000, 0.0000, 0.5000], [0.0000, 0.0000, 0.7508], [0.5000, 0.5000, 0.0000], [0.5000, 0.5000, 0.2484], [0.5000, 0.5000, 0.5000], [0.5000, 0.5000, 0.7516], [0.5000, 0.0000, 0.1230], [0.5000, 0.0000, 0.3744], [0.5000, 0.0000, 0.6256], [0.5000, 0.0000, 0.8770], [0.0000, 0.5000, 0.1230], [0.0000, 0.5000, 0.3744], [0.0000, 0.5000, 0.6256], [0.0000, 0.5000, 0.8770], [0.0000, 0.0000, 0.0000]],
  "total_energy_ev_per_atom": -4.61,
  "volume_a3_per_cell": 512.7,
  "rho_g_cm3": 8.3,
  "m_tot_mub_per_fu": 0.00
}

Entry 9:
{
  "formula": "NdDy6Er4",
  "functional": "PBE",
  "state": "optimized geometry",
  "cell": [[7.5380, 0.0000, 0.0000], [0.0000, 7.5380, 0.0000], [-3.7690, -3.7690, 6.5976]],
  "species": ["Nd", "Dy", "Dy", "Dy", "Dy", "Dy", "Dy", "Er", "Er", "Er", "Er"],
  "fractional_positions": [[0.5000, 0.5000, 0.0000], [0.9258, 0.4473, 0.3731], [0.4473, 0.9258, 0.3731], [0.5527, 0.5527, 0.6269], [0.0000, 0.5000, 0.0000], [0.0742, 0.0742, 0.6269], [0.5000, 0.0000, 0.0000], [0.0828, 0.7592, 0.8420], [0.9172, 0.9172, 0.1580], [0.7592, 0.0828, 0.8420], [0.2408, 0.2408, 0.1580]],
  "total_energy_ev_per_atom": -4.17,
  "volume_a3_per_cell": 374.9,
  "rho_g_cm3": 7.9,
  "m_tot_mub_per_fu": 0.00
}

Entry 10:
{
  "formula": "Nd2DyEr",
  "functional": "PBE",
  "state": "optimized geometry",
  "cell": [[5.1199, 5.0595, -0.0631], [-5.1199, 5.0595, -0.0631], [0.0000, 0.0665, 5.1050]],
  "species": ["Nd", "Nd", "Nd", "Nd", "Dy", "Dy", "Er", "Er"],
  "fractional_positions": [[0.1248, 0.3748, 0.7501], [0.6252, 0.8752, 0.7499], [0.8752, 0.6252, 0.2499], [0.3748, 0.1248, 0.2501], [0.3743, 0.6257, 0.2500], [0.6257, 0.3743, 0.7500], [0.8757, 0.1243, 0.2500], [0.1243, 0.8757, 0.7500]],
  "total_energy_ev_per_atom": -4.66,
  "volume_a3_per_cell": 264.5,
  "rho_g_cm3": 7.8,
  "m_tot_mub_per_fu": 0.00
}

Entry 11:
{
  "formula": "Nd4Dy8Er3",
  "functional": "PBE",
  "state": "optimized geometry",
  "cell": [[6.7559, -0.1045, -0.1501], [-3.2451, 8.6346, 1.1788], [-3.2451, -1.8920, 8.5069]],
  "species": ["Nd", "Nd", "Nd", "Nd", "Dy", "Dy", "Dy", "Dy", "Dy", "Dy", "Dy", "Dy", "Er", "Er", "Er"],
  "fractional_positions": [[0.5000, 0.0000, 0.0000], [0.0000, 0.5000, 0.0000], [0.0000, 0.0000, 0.0000], [0.0000, 0.0000, 0.5000], [0.5190, 0.2669, 0.2669], [0.0000, 0.6382, 0.3618], [0.0022, 0.2716, 0.2716], [0.5000, 0.7444, 0.2556], [0.5000, 0.2556, 0.7444], [0.9978, 0.7284, 0.7284], [0.0000, 0.3618, 0.6382], [0.4810, 0.7331, 0.7331], [0.5000, 0.5000, 0.0000], [0.5000, 0.0000, 0.5000], [0.5000, 0.5000, 0.5000]],
  "total_energy_ev_per_atom": -4.27,
  "volume_a3_per_cell": 503.7,
  "rho_g_cm3": 7.8,
  "m_tot_mub_per_fu": 0.01
}

Entry 12:
{
  "formula": "Nd12Dy5Er2",
  "functional": "PBE",
  "state": "optimized geometry",
  "cell": [[-7.5411, -5.8486, 4.7022], [7.9484, 2.6542, 4.0131], [-3.2823, 6.7093, 3.0812]],
  "species": ["Nd", "Nd", "Nd", "Nd", "Nd", "Nd", "Nd", "Nd", "Nd", "Nd", "Nd", "Nd", "Dy", "Dy", "Dy", "Dy", "Dy", "Er", "Er"],
  "fractional_positions": [[0.8691, 0.7383, 0.1049], [0.0404, 0.6300, 0.7922], [0.5896, 0.6300, 0.7922], [0.1665, 0.7870, 0.3853], [0.6205, 0.7870, 0.3853], [0.4456, 0.8912, 0.7119], [0.5544, 0.1088, 0.2881], [0.8335, 0.2130, 0.6147], [0.3795, 0.2130, 0.6147], [0.9596, 0.3700, 0.2078], [0.4104, 0.3700, 0.2078], [0.1309, 0.2617, 0.8951], [0.2416, 0.4832, 0.5138], [0.3437, 0.6875, 0.0944], [0.0000, 0.0000, 0.5000], [0.6563, 0.3125, 0.9056], [0.7584, 0.5168, 0.4862], [0.7301, 0.0000, 0.0000], [0.2699, 0.0000, 0.0000]],
  "total_energy_ev_per_atom": -4.57,
  "volume_a3_per_cell": 653.4,
  "rho_g_cm3": 7.3,
  "m_tot_mub_per_fu": 0.00
}